Crystalline LiHf4N4 at its relaxed geometry. Source: Alexandria, functional PBE.

a = 4.4590 Å, b = 5.5613 Å, c = 5.5576 Å
α = 80.66°, β = 66.35°, γ = 66.37°
Positions (direct):
1 Li 0.0000 0.0000 0.0000
2 Hf 0.6153 0.5731 0.1963
3 Hf 0.3847 0.4269 0.8037
4 Hf 0.1880 0.1968 0.4272
5 Hf 0.8120 0.8032 0.5728
6 N 0.8969 0.4102 0.7960
7 N 0.1031 0.5898 0.2040
8 N 0.3077 0.7961 0.5884
9 N 0.6923 0.2039 0.4116

## Properties
E_form (uncorrected) = -1487 meV/atom
VASP energy = -9.823 eV per atom